This record from Alexandria describes a geometry-optimized Ti5Pb2N structure. The functional is GGA-PBE.

The calculation puts the uncorrected formation energy at -0.101 eV per atom.

POSCAR file:
```
Ti5Pb2N
1.0
1.929 -8.110 0.000
1.929 8.110 0.000
0.000 0.000 10.693
Ti Pb N
10 4 2
Direct
0.140 0.860 0.629 Ti
0.140 0.860 0.871 Ti
0.260 0.740 0.250 Ti
0.300 0.700 0.562 Ti
0.300 0.700 0.938 Ti
0.700 0.300 0.062 Ti
0.700 0.300 0.438 Ti
0.740 0.260 0.750 Ti
0.860 0.140 0.129 Ti
0.860 0.140 0.371 Ti
0.058 0.942 0.114 Pb
0.058 0.942 0.386 Pb
0.942 0.058 0.614 Pb
0.942 0.058 0.886 Pb
0.245 0.755 0.750 N
0.755 0.245 0.250 N
```